1.
Compound: AgHg4Cl2
Source: Alexandria
Functional: PBE-GGA
Structure: relaxed

The structure belongs to space group I4/mmm (No. 139); the cell edges are 5.505, 5.505 and 15.169 Å and the angles 90.00°, 90.00° and 90.00°. The distinct sites, in fractional coordinates, are Ag at (0.000, 0.000, 0.000), Hg at (0.000, 0.000, 0.174), Hg at (0.000, 0.500, 0.000) and Cl at (0.000, 0.000, 0.338).

The calculation puts the uncorrected formation energy at -1.48 eV/f.u. The density comes out at 7.089 g/cm³.

---

2.
Compound: Ag2Hg2Cl5
Source: Alexandria
Functional: PBE-GGA
Structure: relaxed

The structure belongs to space group Ima2 (No. 46); the cell edges are 18.308, 6.969 and 7.670 Å and the angles 90.00°, 90.00° and 90.00°. The distinct sites, in fractional coordinates, are Ag at (0.129, 0.044, 0.000), Hg at (0.000, 0.000, 0.521), Hg at (0.250, 0.549, 0.249), Cl at (0.058, 0.243, 0.270), Cl at (0.125, 0.686, 0.040) and Cl at (0.250, 0.231, 0.048).

The calculation puts the uncorrected formation energy at -3.78 eV/f.u. The density comes out at 5.390 g/cm³.

---

3.
Compound: Ag3Hg5Cl12
Source: Alexandria
Functional: PBE-GGA
Structure: relaxed

The structure belongs to space group Ia-3d (No. 230); the cell edges are 16.719, 16.719 and 16.719 Å and the angles 90.00°, 90.00° and 90.00°. The distinct sites, in fractional coordinates, are Ag at (0.000, 0.250, 0.125), Hg at (0.000, 0.000, 0.000), Hg at (0.000, 0.250, 0.375) and Cl at (0.011, 0.046, 0.658).

The calculation puts the uncorrected formation energy at -8.54 eV/f.u. The density comes out at 4.980 g/cm³.

---

4.
Compound: AgHgCl2
Source: Alexandria
Functional: PBE-GGA
Structure: relaxed

The structure belongs to space group R3m (No. 160, hexagonal axes); the cell edges are 4.0736, 4.0736 and 22.7095 Å and the angles 90.00°, 90.00° and 120.00°. The distinct sites, in fractional coordinates, are Ag at (0.0000, 0.0000, 0.0000), Hg at (0.0000, 0.0000, 0.2557), Cl at (0.0000, 0.0000, 0.5263) and Cl at (0.0000, 0.0000, 0.7160).

The calculation puts the uncorrected formation energy at -1.27 eV/f.u. The calculation puts the distance to the lowest polymorph of the same formula at 22.4 meV/atom. The density comes out at 5.791 g/cm³.

---

5.
Compound: AgHgCl3
Source: Alexandria
Functional: PBE-GGA
Structure: relaxed

The structure belongs to space group Pm-3m (No. 221); the cell edges are 5.253, 5.253 and 5.253 Å and the angles 90.00°, 90.00° and 90.00°. The distinct sites, in fractional coordinates, are Ag at (0.000, 0.000, 0.000), Hg at (0.500, 0.500, 0.500) and Cl at (0.000, 0.500, 0.500).

The calculation puts the uncorrected formation energy at -0.97 eV/f.u. The calculation puts the distance to the lowest polymorph of the same formula at 314.5 meV/atom. The density comes out at 4.751 g/cm³.

---

6.
Compound: AgHgCl2
Source: Alexandria
Functional: PBE-GGA
Structure: relaxed

The structure belongs to space group F-43m (No. 216); the cell edges are 7.079, 7.079 and 7.079 Å and the angles 90.00°, 90.00° and 90.00°. The distinct sites, in fractional coordinates, are Ag at (0.000, 0.000, 0.000), Hg at (0.250, 0.250, 0.750), Cl at (0.000, 0.000, 0.500) and Cl at (0.250, 0.250, 0.250).

The calculation puts the uncorrected formation energy at 0.15 eV/f.u. The calculation puts the distance to the lowest polymorph of the same formula at 377.4 meV/atom. The density comes out at 7.105 g/cm³.

---

7.
Compound: Ag4HgCl5
Source: Alexandria
Functional: PBE-GGA
Structure: relaxed

The structure belongs to space group C2/m (No. 12); the cell edges are 16.494, 3.917 and 8.216 Å and the angles 90.00°, 109.08° and 90.00°. The distinct sites, in fractional coordinates, are Ag at (0.004, 0.000, 0.273), Ag at (0.201, 0.500, 0.167), Hg at (0.000, 0.500, 0.000), Cl at (0.000, 0.500, 0.500), Cl at (0.154, 0.000, 0.894) and Cl at (0.162, 0.000, 0.341).

The calculation puts the uncorrected formation energy at -3.67 eV/f.u. The density comes out at 5.358 g/cm³.

---

8.
Compound: AgHgCl2
Source: Alexandria
Functional: PBE-GGA
Structure: relaxed

The structure belongs to space group P2/m (No. 10); the cell edges are 3.875, 3.788 and 7.254 Å and the angles 90.00°, 91.47° and 90.00°. The distinct sites, in fractional coordinates, are Ag at (0.000, 0.000, 0.000), Hg at (0.500, 0.000, 0.500) and Cl at (0.201, 0.500, 0.220).

The calculation puts the uncorrected formation energy at -1.08 eV/f.u. The calculation puts the distance to the lowest polymorph of the same formula at 70.7 meV/atom. The density comes out at 5.918 g/cm³.

---

9.
Compound: Ag2Hg2Cl
Source: Alexandria
Functional: PBE-GGA
Structure: relaxed

The structure belongs to space group P4/mbm (No. 127); the cell edges are 7.598, 7.598 and 3.980 Å and the angles 90.00°, 90.00° and 90.00°. The distinct sites, in fractional coordinates, are Ag at (0.134, 0.366, 0.000), Hg at (0.166, 0.666, 0.500) and Cl at (0.000, 0.000, 0.000).

The calculation puts the uncorrected formation energy at -0.19 eV/f.u. The calculation puts the distance to the lowest polymorph of the same formula at 0.0 meV/atom. The density comes out at 9.429 g/cm³.

---

10.
Compound: AgHgCl
Source: Alexandria
Functional: PBE-GGA
Structure: relaxed

The structure belongs to space group Pmn2_1 (No. 31); the cell edges are 4.432, 5.927 and 7.703 Å and the angles 90.00°, 90.00° and 90.00°. The distinct sites, in fractional coordinates, are Ag at (0.000, 0.005, 0.000), Hg at (0.000, 0.504, 0.000) and Cl at (0.000, 0.000, 0.333).

The calculation puts the uncorrected formation energy at -0.85 eV/f.u. The calculation puts the distance to the lowest polymorph of the same formula at 14.1 meV/atom. The density comes out at 5.644 g/cm³.

---

11.
Compound: Ag6HgCl12
Source: Alexandria
Functional: PBE-GGA
Structure: relaxed

The structure belongs to space group P-1 (No. 2); the cell edges are 7.170, 9.392 and 9.799 Å and the angles 114.06°, 107.50° and 98.04°. The distinct sites, in fractional coordinates, are Ag at (0.078, 0.454, 0.336), Ag at (0.271, 0.783, 0.144), Ag at (0.386, 0.351, 0.075), Hg at (0.000, 0.000, 0.500), Cl at (0.058, 0.218, 0.074), Cl at (0.151, 0.706, 0.594), Cl at (0.245, 0.027, 0.393), Cl at (0.262, 0.504, 0.866), Cl at (0.362, 0.598, 0.292) and Cl at (0.377, 0.100, 0.856).

The calculation puts the uncorrected formation energy at -7.15 eV/f.u. The density comes out at 3.858 g/cm³.

---

12.
Compound: AgHg2Cl
Source: Alexandria
Functional: PBE-GGA
Structure: relaxed

The structure belongs to space group Imm2 (No. 44); the cell edges are 3.614, 6.114 and 9.461 Å and the angles 90.00°, 90.00° and 90.00°. The distinct sites, in fractional coordinates, are Ag at (0.000, 0.000, 0.000), Hg at (0.000, 0.000, 0.495), Hg at (0.000, 0.500, 0.265) and Cl at (0.000, 0.500, 0.700).

The calculation puts the uncorrected formation energy at -0.64 eV/f.u. The calculation puts the distance to the lowest polymorph of the same formula at 55.8 meV/atom. The density comes out at 8.652 g/cm³.

---

13.
Compound: AgHgCl2
Source: Alexandria
Functional: PBE-GGA
Structure: relaxed

The structure belongs to space group Pmmm (No. 47); the cell edges are 3.863, 3.979 and 6.749 Å and the angles 90.00°, 90.00° and 90.00°. The distinct sites, in fractional coordinates, are Ag at (0.000, 0.000, 0.000), Hg at (0.000, 0.500, 0.500), Cl at (0.500, 0.000, 0.500) and Cl at (0.500, 0.500, 0.000).

The calculation puts the uncorrected formation energy at -0.99 eV/f.u. The calculation puts the distance to the lowest polymorph of the same formula at 92.8 meV/atom. The density comes out at 6.073 g/cm³.

---

14.
Compound: Ag5Hg2Cl12
Source: Alexandria
Functional: PBE-GGA
Structure: relaxed

The structure belongs to space group P-1 (No. 2); the cell edges are 7.298, 7.951 and 10.735 Å and the angles 97.25°, 108.87° and 103.89°. The distinct sites, in fractional coordinates, are Ag at (0.000, 0.000, 0.000), Ag at (0.182, 0.421, 0.927), Ag at (0.352, 0.624, 0.609), Hg at (0.227, 0.984, 0.419), Cl at (0.086, 0.704, 0.980), Cl at (0.122, 0.662, 0.380), Cl at (0.164, 0.098, 0.850), Cl at (0.257, 0.297, 0.446), Cl at (0.436, 0.555, 0.835) and Cl at (0.469, 0.966, 0.686).

The calculation puts the uncorrected formation energy at -7.82 eV/f.u. The calculation puts the distance to the lowest polymorph of the same formula at 12.0 meV/atom. The density comes out at 4.066 g/cm³.

---

15.
Compound: AgHgCl2
Source: Alexandria
Functional: PBE-GGA
Structure: relaxed

The structure belongs to space group Imm2 (No. 44); the cell edges are 3.909, 3.940 and 13.500 Å and the angles 90.00°, 90.00° and 90.00°. The distinct sites, in fractional coordinates, are Ag at (0.000, 0.000, 0.000), Hg at (0.000, 0.500, 0.724), Cl at (0.000, 0.000, 0.487) and Cl at (0.000, 0.500, 0.233).

The calculation puts the uncorrected formation energy at -0.99 eV/f.u. The calculation puts the distance to the lowest polymorph of the same formula at 92.6 meV/atom. The density comes out at 6.060 g/cm³.

---

16.
Compound: Ag3HgCl
Source: Alexandria
Functional: PBE-GGA
Structure: relaxed

The structure belongs to space group Pm-3m (No. 221); the cell edges are 5.095, 5.095 and 5.095 Å and the angles 90.00°, 90.00° and 90.00°. The distinct sites, in fractional coordinates, are Ag at (0.000, 0.000, 0.500), Hg at (0.500, 0.500, 0.500) and Cl at (0.000, 0.000, 0.000).

The calculation puts the uncorrected formation energy at 2.12 eV/f.u. The calculation puts the distance to the lowest polymorph of the same formula at 0.0 meV/atom. The density comes out at 7.027 g/cm³.

---

17.
Compound: Ag3Hg4Cl12
Source: Alexandria
Functional: PBE-GGA
Structure: relaxed

The structure belongs to space group Im-3 (No. 204); the cell edges are 10.119, 10.119 and 10.119 Å and the angles 90.00°, 90.00° and 90.00°. The distinct sites, in fractional coordinates, are Ag at (0.000, 0.000, 0.500), Hg at (0.250, 0.250, 0.250) and Cl at (0.000, 0.317, 0.180).

The calculation puts the uncorrected formation energy at -8.61 eV/f.u. The density comes out at 4.972 g/cm³.

---

18.
Compound: Ag2Hg2Cl7
Source: Alexandria
Functional: PBE-GGA
Structure: relaxed

The structure belongs to space group C2/m (No. 12); the cell edges are 8.021, 13.158 and 6.854 Å and the angles 90.00°, 94.85° and 90.00°. The distinct sites, in fractional coordinates, are Ag at (0.201, 0.000, 0.397), Hg at (0.000, 0.182, 0.000), Cl at (0.000, 0.500, 0.500), Cl at (0.100, 0.000, 0.757) and Cl at (0.229, 0.191, 0.240).

The calculation puts the uncorrected formation energy at -5.22 eV/f.u. The density comes out at 3.986 g/cm³.

---

19.
Compound: AgHgCl3
Source: Alexandria
Functional: PBE-GGA
Structure: relaxed

The structure belongs to space group C2/c (No. 15); the cell edges are 13.530, 12.584 and 6.824 Å and the angles 90.00°, 104.13° and 90.00°. The distinct sites, in fractional coordinates, are Ag at (0.000, 0.109, 0.250), Ag at (0.000, 0.268, 0.750), Hg at (0.248, 0.413, 0.024), Cl at (0.119, 0.067, 0.656), Cl at (0.119, 0.240, 0.103) and Cl at (0.135, 0.425, 0.686).

The calculation puts the uncorrected formation energy at -2.53 eV/f.u. The calculation puts the distance to the lowest polymorph of the same formula at 2.5 meV/atom. The density comes out at 4.891 g/cm³.